Entry 1:
Below is crystalline CdSbBr at its relaxed geometry, with properties calculated at the PBE-GGA level.

Properties
Energy relative to the elements, uncorrected: -94 meV per atom
Space group: No. 42
Relative energy among the computed polymorphs: 0.86 eV per formula unit
DOS at the Fermi energy: 1.2 states/eV/cell
E_tot: -0.171 Ry/atom

Cell lengths 7.9662, 7.7251, 3.4884 Å; angles 81.05, 73.32, 25.63 degrees
With the nearest neighbours (Å) after each atom.
Positions (direct):
Cd 0.0000 0.0000 0.0000  2 Br 2.77, 2 Sb 3.03
Sb 0.3500 0.3500 0.6500  2 Cd 3.03
Br 0.6252 0.6252 0.3748  2 Cd 2.77

=====

Entry 2:
Below is crystalline CdSb2Br at its relaxed geometry, with properties calculated at the PBE-GGA level.

Properties
Energy relative to the elements, uncorrected: -36 meV per atom
Space group: No. 122
Relative energy among the computed polymorphs: 0.70 eV per formula unit
DOS at the Fermi energy: 4.2 states/eV/cell
E_tot: -0.202 Ry/atom

Cell lengths 12.3527, 12.3527, 12.3527 Å; angles 159.23, 159.23, 29.54 degrees
With the nearest neighbours (Å) after each atom.
Positions (direct):
Cd 0.0000 0.0000 0.0000  4 Br 3.15, 4 Sb 3.32
Cd 0.7500 0.2500 0.5000  4 Br 3.15, 4 Sb 3.32
Sb 0.0802 0.6250 0.9552  2 Sb 2.88
Sb 0.3750 0.3302 0.4552  2 Sb 2.88
Sb 0.6698 0.1250 0.0448  2 Sb 2.88
Sb 0.8750 0.9198 0.5448  2 Sb 2.88
Br 0.2500 0.7500 0.5000  4 Cd 3.15, 4 Sb 3.45
Br 0.5000 0.5000 0.0000  4 Cd 3.15, 4 Sb 3.45

=====

Entry 3:
Below is crystalline CdSb3Br at its relaxed geometry, with properties calculated at the PBE-GGA level.

Properties
Energy relative to the elements, uncorrected: 692 meV per atom
Space group: No. 221
Relative energy among the computed polymorphs: 0.00 eV per formula unit
DOS at the Fermi energy: 4.8 states/eV/cell
E_tot: -0.169 Ry/atom

Cell lengths 5.5679, 5.5679, 5.5679 Å; angles 90.00, 90.00, 90.00 degrees
With the nearest neighbours (Å) after each atom.
Positions (direct):
Cd 0.0000 0.0000 0.0000  6 Sb 2.78
Sb 0.0000 0.0000 0.5000  2 Cd 2.78
Sb 0.0000 0.5000 0.0000  2 Cd 2.78
Sb 0.5000 0.0000 0.0000  2 Cd 2.78
Br 0.5000 0.5000 0.5000  12 Sb 3.94

=====

Entry 4:
Below is crystalline CdSbBr at its relaxed geometry, with properties calculated at the PBE-GGA level.

Properties
Energy relative to the elements, uncorrected: -333 meV per atom
Space group: No. 12
Relative energy among the computed polymorphs: 0.14 eV per formula unit
DOS at the Fermi energy: 1.5 states/eV/cell
E_tot: -0.189 Ry/atom

Cell lengths 4.2043, 4.2043, 12.9968 Å; angles 96.38, 96.38, 58.37 degrees
With the nearest neighbours (Å) after each atom.
Positions (direct):
Cd 0.0406 0.0406 0.2621  3 Br 2.78-2.92, 2 Sb 3.04
Cd 0.9594 0.9594 0.7379  3 Br 2.78-2.92, 2 Sb 3.04
Sb 0.3585 0.3585 0.5670  3 Sb 2.88-3.01, 2 Cd 3.04
Sb 0.6415 0.6415 0.4330  3 Sb 2.88-3.01, 2 Cd 3.04
Br 0.2994 0.2994 0.8592  3 Cd 2.78-2.92
Br 0.7006 0.7006 0.1408  3 Cd 2.78-2.92

=====

Entry 5:
Below is crystalline CdSb2Br at its relaxed geometry, with properties calculated at the PBE-GGA level.

Properties
Energy relative to the elements, uncorrected: -21 meV per atom
Space group: No. 71
Relative energy among the computed polymorphs: 0.77 eV per formula unit
DOS at the Fermi energy: 1.2 states/eV/cell
E_tot: -0.201 Ry/atom

Cell lengths 7.1052, 7.1052, 7.1052 Å; angles 150.91, 139.72, 50.45 degrees
With the nearest neighbours (Å) after each atom.
Positions (direct):
Cd 0.0000 0.0000 0.0000  4 Br 3.03, 4 Sb 3.17
Sb 0.2035 0.7035 0.5000  2 Cd 3.17, 4 Sb 3.26
Sb 0.7965 0.2965 0.5000  2 Cd 3.17, 4 Sb 3.26
Br 0.5000 0.5000 0.0000  4 Cd 3.03

=====

Entry 6:
Below is crystalline CdSb2Br at its relaxed geometry, with properties calculated at the PBE-GGA level.

Properties
Energy relative to the elements, uncorrected: 185 meV per atom
Space group: No. 65
Relative energy among the computed polymorphs: 1.59 eV per formula unit
DOS at the Fermi energy: 2.7 states/eV/cell
E_tot: -0.185 Ry/atom

Cell lengths 6.1778, 6.1778, 3.2655 Å; angles 90.00, 90.00, 119.56 degrees
With the nearest neighbours (Å) after each atom.
Positions (direct):
Cd 0.0000 0.0000 0.0000  2 Br 3.11, 2 Cd 3.27
Sb 0.0000 0.5000 0.5000  4 Sb 3.11-3.27
Sb 0.5000 0.0000 0.5000  4 Sb 3.11-3.27
Br 0.5000 0.5000 0.0000  2 Cd 3.11, 2 Br 3.27

=====

Entry 7:
Below is crystalline CdSb2Br at its relaxed geometry, with properties calculated at the PBE-GGA level.

Properties
Energy relative to the elements, uncorrected: -10 meV per atom
Space group: No. 99
Relative energy among the computed polymorphs: 0.81 eV per formula unit
DOS at the Fermi energy: 1.0 states/eV/cell
E_tot: -0.200 Ry/atom

Cell lengths 3.9758, 3.9758, 7.7646 Å; angles 90.00, 90.00, 90.00 degrees
With the nearest neighbours (Å) after each atom.
Positions (direct):
Cd 0.0000 0.0000 0.0000  5 Sb 3.17-3.49, 4 Br 3.17
Sb 0.0000 0.0000 0.4080  4 Sb 3.02, 1 Cd 3.17
Sb 0.5000 0.5000 0.2669  4 Sb 3.02
Br 0.5000 0.5000 0.8100  4 Cd 3.17, 1 Sb 3.55

=====

Entry 8:
Below is crystalline CdSb2Br at its relaxed geometry, with properties calculated at the PBE-GGA level.

Properties
Energy relative to the elements, uncorrected: -55 meV per atom
Space group: No. 6
Relative energy among the computed polymorphs: 0.63 eV per formula unit
DOS at the Fermi energy: 1.0 states/eV/cell
E_tot: -0.203 Ry/atom

Cell lengths 3.2777, 6.2483, 5.8839 Å; angles 90.00, 92.48, 90.00 degrees
With the nearest neighbours (Å) after each atom.
Positions (direct):
Cd 0.0000 0.0000 0.0000  2 Sb 2.94, 2 Br 3.12, 2 Cd 3.28
Sb 0.9895 0.5000 0.5001  2 Br 2.94, 4 Sb 3.12-3.28
Sb 0.9976 0.0000 0.5000  2 Cd 2.94, 4 Sb 3.12-3.28
Br 0.9838 0.5000 0.0003  2 Sb 2.94, 2 Cd 3.12, 2 Br 3.28

=====

Entry 9:
Below is crystalline CdSbBr at its relaxed geometry, with properties calculated at the PBE-GGA level.

Properties
Energy relative to the elements, uncorrected: -301 meV per atom
Space group: No. 2
Relative energy among the computed polymorphs: 0.23 eV per formula unit
DOS at the Fermi energy: 0.8 states/eV/cell
E_tot: -0.187 Ry/atom

Cell lengths 3.5491, 6.2693, 8.9166 Å; angles 86.21, 79.05, 88.88 degrees
With the nearest neighbours (Å) after each atom.
Positions (direct):
Cd 0.1750 0.2106 0.1584  1 Sb 2.75, 3 Br 2.76-3.04
Cd 0.8250 0.7894 0.8416  1 Sb 2.75, 3 Br 2.76-3.04
Sb 0.0364 0.7704 0.5291  1 Cd 2.75, 1 Sb 2.91
Sb 0.9636 0.2296 0.4709  1 Cd 2.75, 1 Sb 2.91
Br 0.2190 0.7430 0.0851  3 Cd 2.76-3.04
Br 0.7810 0.2570 0.9149  3 Cd 2.76-3.04

=====

Entry 10:
Below is crystalline Cd3Sb2Br at its relaxed geometry, with properties calculated at the PBE-GGA level.

Properties
Energy relative to the elements, uncorrected: -152 meV per atom
Space group: No. 9
DOS at the Fermi energy: 6.1 states/eV/cell
E_tot: -0.166 Ry/atom

Cell lengths 8.1665, 8.1665, 8.1091 Å; angles 102.46, 102.46, 119.48 degrees
With the nearest neighbours (Å) after each atom.
Positions (direct):
Cd 0.0887 0.9113 0.5000  2 Sb 2.76-2.80, 2 Br 2.91-3.02
Cd 0.2286 0.7003 0.9850  3 Sb 2.78-2.87, 1 Br 2.96
Cd 0.3655 0.5530 0.4886  3 Sb 2.79-2.80, 1 Br 2.98
Cd 0.5530 0.3655 0.9886  3 Sb 2.79-2.80, 1 Br 2.98
Cd 0.7003 0.2286 0.4850  3 Sb 2.78-2.87, 1 Br 2.96
Cd 0.9113 0.0887 0.0000  2 Sb 2.76-2.80, 2 Br 2.91-3.02
Sb 0.0884 0.6049 0.6016  4 Cd 2.79-2.87
Sb 0.2939 0.4404 0.1153  4 Cd 2.76-2.80
Sb 0.4404 0.2939 0.6153  4 Cd 2.76-2.80
Sb 0.6049 0.0884 0.1016  4 Cd 2.79-2.87
Br 0.7681 0.9414 0.6034  4 Cd 2.91-3.02
Br 0.9414 0.7681 0.1034  4 Cd 2.91-3.02

=====

Entry 11:
Below is crystalline CdSbBr3 at its relaxed geometry, with properties calculated at the PBE-GGA level.

Properties
Energy relative to the elements, uncorrected: -269 meV per atom
Space group: No. 221
Relative energy among the computed polymorphs: 0.00 eV per formula unit
DOS at the Fermi energy: 4.8 states/eV/cell
E_tot: -0.168 Ry/atom

Cell lengths 5.6548, 5.6548, 5.6548 Å; angles 90.00, 90.00, 90.00 degrees
With the nearest neighbours (Å) after each atom.
Positions (direct):
Cd 0.0000 0.0000 0.0000  12 Br 4.00
Sb 0.5000 0.5000 0.5000  6 Br 2.83
Br 0.0000 0.5000 0.5000  2 Sb 2.83
Br 0.5000 0.0000 0.5000  2 Sb 2.83
Br 0.5000 0.5000 0.0000  2 Sb 2.83

=====

Entry 12:
Below is crystalline CdSb2Br2 at its relaxed geometry, with properties calculated at the PBE-GGA level.

Properties
Energy relative to the elements, uncorrected: -211 meV per atom
Space group: No. 127
DOS at the Fermi energy: 2.2 states/eV/cell
E_tot: -0.199 Ry/atom

Cell lengths 7.6201, 7.6201, 5.6413 Å; angles 90.00, 90.00, 90.00 degrees
With the nearest neighbours (Å) after each atom.
Positions (direct):
Cd 0.0000 0.0000 0.0000  4 Sb 2.97
Cd 0.5000 0.5000 0.0000  4 Sb 2.97
Sb 0.1351 0.3649 0.0000  2 Br 2.85, 1 Sb 2.91, 2 Cd 2.97
Sb 0.3649 0.8649 0.0000  2 Br 2.85, 1 Sb 2.91, 2 Cd 2.97
Sb 0.6351 0.1351 0.0000  2 Br 2.85, 1 Sb 2.91, 2 Cd 2.97
Sb 0.8649 0.6351 0.0000  2 Br 2.85, 1 Sb 2.91, 2 Cd 2.97
Br 0.1751 0.3249 0.5000  2 Sb 2.85
Br 0.3249 0.8249 0.5000  2 Sb 2.85
Br 0.6751 0.1751 0.5000  2 Sb 2.85
Br 0.8249 0.6751 0.5000  2 Sb 2.85

=====

Entry 13:
Below is crystalline Cd3SbBr at its relaxed geometry, with properties calculated at the PBE-GGA level.

Properties
Energy relative to the elements, uncorrected: -17 meV per atom
Space group: No. 221
Relative energy among the computed polymorphs: 0.43 eV per formula unit
DOS at the Fermi energy: 1.1 states/eV/cell
E_tot: -0.127 Ry/atom

Cell lengths 5.7081, 5.7081, 5.7081 Å; angles 90.00, 90.00, 90.00 degrees
With the nearest neighbours (Å) after each atom.
Positions (direct):
Cd 0.0000 0.0000 0.5000  2 Sb 2.85
Cd 0.0000 0.5000 0.0000  2 Sb 2.85
Cd 0.5000 0.0000 0.0000  2 Sb 2.85
Sb 0.0000 0.0000 0.0000  6 Cd 2.85
Br 0.5000 0.5000 0.5000  12 Cd 4.04

=====

Entry 14:
Below is crystalline CdSnSbBr2 at its relaxed geometry, with properties calculated at the PBE-GGA level.

Properties
Energy relative to the elements, uncorrected: -314 meV per atom
Space group: No. 63
DOS at the Fermi energy: 3.8 states/eV/cell
E_tot: -0.205 Ry/atom

Cell lengths 7.3473, 7.3473, 10.3735 Å; angles 90.00, 90.00, 144.89 degrees
With the nearest neighbours (Å) after each atom.
Positions (direct):
Cd 0.0000 0.0000 0.0000  2 Sb 2.78, 4 Br 3.05
Cd 0.0000 0.0000 0.5000  2 Sb 2.78, 4 Br 3.05
Sn 0.2994 0.7006 0.7500  2 Sb 2.86, 2 Br 3.19
Sn 0.7006 0.2994 0.2500  2 Sb 2.86, 2 Br 3.19
Sb 0.0714 0.9286 0.2500  2 Cd 2.78, 2 Sn 2.86
Sb 0.9286 0.0714 0.7500  2 Cd 2.78, 2 Sn 2.86
Br 0.3544 0.6456 0.0483  2 Cd 3.05, 1 Sn 3.19
Br 0.3544 0.6456 0.4517  2 Cd 3.05, 1 Sn 3.19
Br 0.6456 0.3544 0.5483  2 Cd 3.05, 1 Sn 3.19
Br 0.6456 0.3544 0.9517  2 Cd 3.05, 1 Sn 3.19

=====

Entry 15:
Below is crystalline CdSbTe2Br at its relaxed geometry, with properties calculated at the PBE-GGA level.

Properties
Energy relative to the elements, uncorrected: 547 meV per atom
Space group: No. 123
Relative energy among the computed polymorphs: 0.00 eV per formula unit
DOS at the Fermi energy: 6.0 states/eV/cell
E_tot: -0.151 Ry/atom

Cell lengths 5.5415, 5.5415, 5.7435 Å; angles 90.00, 90.00, 90.00 degrees
With the nearest neighbours (Å) after each atom.
Positions (direct):
Cd 0.0000 0.0000 0.0000  4 Te 2.77, 2 Sb 2.87
Sb 0.0000 0.0000 0.5000  2 Cd 2.87
Te 0.0000 0.5000 0.0000  2 Cd 2.77
Te 0.5000 0.0000 0.0000  2 Cd 2.77
Br 0.5000 0.5000 0.5000  4 Sb 3.92, 8 Te 3.99

=====

Entry 16:
Below is crystalline CdSbTe2Br at its relaxed geometry, with properties calculated at the PBE-GGA level.

Properties
Energy relative to the elements, uncorrected: 800 meV per atom
Space group: No. 123
Relative energy among the computed polymorphs: 1.27 eV per formula unit
DOS at the Fermi energy: 7.3 states/eV/cell
E_tot: -0.132 Ry/atom

Cell lengths 5.6910, 5.6910, 5.5981 Å; angles 90.00, 90.00, 90.00 degrees
With the nearest neighbours (Å) after each atom.
Positions (direct):
Cd 0.0000 0.0000 0.0000  8 Te 3.99, 4 Sb 4.02
Sb 0.5000 0.5000 0.0000  2 Br 2.80
Te 0.0000 0.5000 0.5000  2 Br 2.85
Te 0.5000 0.0000 0.5000  2 Br 2.85
Br 0.5000 0.5000 0.5000  2 Sb 2.80, 4 Te 2.85

=====

Entry 17:
Below is crystalline Tl2CdSbBr at its relaxed geometry, with properties calculated at the PBE-GGA level.

Properties
Energy relative to the elements, uncorrected: 126 meV per atom
Space group: No. 123
DOS at the Fermi energy: 2.4 states/eV/cell
E_tot: -0.159 Ry/atom

Cell lengths 6.2368, 6.2368, 5.7090 Å; angles 90.00, 90.00, 90.00 degrees
With the nearest neighbours (Å) after each atom.
Positions (direct):
Tl 0.0000 0.5000 0.0000  2 Sb 3.12
Tl 0.5000 0.0000 0.0000  2 Sb 3.12
Cd 0.0000 0.0000 0.5000  8 Tl 4.23, 4 Br 4.41
Sb 0.5000 0.5000 0.0000  2 Br 2.85, 4 Tl 3.12
Br 0.5000 0.5000 0.5000  2 Sb 2.85

=====

Entry 18:
Below is crystalline Sc2CdBr at its relaxed geometry, with properties calculated at the PBE-GGA level.

Properties
Energy relative to the elements, uncorrected: -216 meV per atom
Space group: No. 47
Relative energy among the computed polymorphs: 1.13 eV per formula unit
DOS at the Fermi energy: 4.7 states/eV/cell
E_tot: -0.296 Ry/atom

Cell lengths 3.4266, 4.9111, 5.7758 Å; angles 90.00, 90.00, 90.00 degrees
With the nearest neighbours (Å) after each atom.
Positions (direct):
Sc 0.0000 0.0000 0.0000  4 Br 2.99
Sc 0.5000 0.0000 0.5000  4 Cd 2.99
Cd 0.0000 0.5000 0.5000  4 Sc 2.99
Br 0.5000 0.5000 0.0000  4 Sc 2.99

=====

Entry 19:
Below is crystalline Sc2CdBr at its relaxed geometry, with properties calculated at the PBE-GGA level.

Properties
Energy relative to the elements, uncorrected: -358 meV per atom
Space group: No. 166
Relative energy among the computed polymorphs: 0.56 eV per formula unit
DOS at the Fermi energy: 3.2 states/eV/cell
E_tot: -0.307 Ry/atom

Cell lengths 9.9515, 9.9515, 9.9515 Å; angles 20.39, 20.39, 20.39 degrees
With the nearest neighbours (Å) after each atom.
Positions (direct):
Sc 0.0887 0.0887 0.0887  1 Br 2.59
Sc 0.9113 0.9113 0.9113  1 Br 2.59
Cd 0.5000 0.5000 0.5000  6 Sc 3.05
Br 0.0000 0.0000 0.0000  2 Sc 2.59

=====

Entry 20:
Below is crystalline Sc2CdBr at its relaxed geometry, with properties calculated at the PBE-GGA level.

Properties
Energy relative to the elements, uncorrected: 20 meV per atom
Space group: No. 122
Relative energy among the computed polymorphs: 2.07 eV per formula unit
DOS at the Fermi energy: 12.8 states/eV/cell
E_tot: -0.279 Ry/atom

Cell lengths 9.4118, 9.4118, 9.4118 Å; angles 148.97, 148.97, 44.46 degrees
With the nearest neighbours (Å) after each atom.
Positions (direct):
Sc 0.0967 0.6250 0.9717  2 Br 2.75, 2 Cd 2.88
Sc 0.3750 0.3467 0.4717  2 Br 2.75, 2 Cd 2.88
Sc 0.6533 0.1250 0.0283  2 Br 2.75, 2 Cd 2.88
Sc 0.8750 0.9033 0.5283  2 Br 2.75, 2 Cd 2.88
Cd 0.2500 0.7500 0.5000  4 Sc 2.88
Cd 0.5000 0.5000 0.0000  4 Sc 2.88
Br 0.0000 0.0000 0.0000  4 Sc 2.75
Br 0.7500 0.2500 0.5000  4 Sc 2.75